Density functional theory data (PBE-GGA) for a geometry-optimized Ti2HgWS structure.

The structure in CIF format:
```
data_Ti2HgWS
_chemical_formula_sum 'Ti2 Hg1 W1 S1'
_cell_length_a 4.427
_cell_length_b 4.836
_cell_length_c 4.427
_cell_angle_alpha 90.00
_cell_angle_beta 90.00
_cell_angle_gamma 90.00
_symmetry_space_group_name_H-M 'P 1'
_symmetry_Int_Tables_number 1
loop_
_symmetry_equiv_pos_as_xyz
'x,y,z'
loop_
_atom_site_label
_atom_site_type_symbol
_atom_site_fract_x
_atom_site_fract_y
_atom_site_fract_z
S1 S 0.000 0.000 0.000
Hg1 Hg 0.000 0.500 0.000
W1 W 0.500 0.500 0.500
Ti1 Ti 0.000 0.000 0.500
Ti2 Ti 0.500 0.000 0.000
```

Computed properties:
Space group   P4/mmm, No. 123
Calculated volume   94.76 Å³/f.u.
ΔE_f (raw)   609 meV per atom